# K5TlCl6, relaxed, DFT PBE-GGA
# **ΔE_f (raw)**: -21.63 eV per formula unit
data_K5TlCl6
_cell_length_a 7.843
_cell_length_b 13.581
_cell_length_c 7.839
_cell_angle_alpha 90.00
_cell_angle_beta 109.47
_cell_angle_gamma 90.00
_space_group_name_H-M_alt 'C 1 2/m 1'
_space_group_IT_number 12
loop_
_space_group_symop_operation_xyz
'x,y,z'
'-x,-y,-z'
'-x,y,-z'
'x,-y,z'
'x+1/2,y+1/2,z'
'-x+1/2,-y+1/2,-z'
'-x+1/2,y+1/2,-z'
'x+1/2,-y+1/2,z'
loop_
_atom_site_label
_atom_site_type_symbol
_atom_site_fract_x
_atom_site_fract_y
_atom_site_fract_z
K1 K 0.000 0.000 0.000
K2 K 0.000 0.167 0.500
K3 K 0.000 0.335 0.000
Tl1 Tl 0.000 0.500 0.500
Cl1 Cl 0.246 0.000 0.752
Cl2 Cl 0.247 0.169 0.247

# La4Pm5Dy, relaxed, DFT PBE-GGA
# **Formation enthalpy at 0 K**: 0.20 eV/atom
data_La4Pm5Dy
_cell_length_a 10.605
_cell_length_b 10.605
_cell_length_c 6.346
_cell_angle_alpha 90.00
_cell_angle_beta 90.00
_cell_angle_gamma 90.00
_space_group_name_H-M_alt 'I 4 m m'
_space_group_IT_number 107
_space_group_name_Hall 'I 4 -2'
loop_
_atom_site_label
_atom_site_type_symbol
_atom_site_fract_x
_atom_site_fract_y
_atom_site_fract_z
La1 La 0.000 0.325 0.000
Pm1 Pm 0.000 0.000 0.736
Pm2 Pm 0.189 0.189 0.462
Dy1 Dy 0.000 0.000 0.203

# Ba3TcN3, relaxed, DFT PBE-GGA
# **ΔE_f (raw)**: -3.80 eV per formula unit
data_Ba3TcN3
_cell_length_a 9.279
_cell_length_b 11.452
_cell_length_c 5.920
_cell_angle_alpha 90.00
_cell_angle_beta 90.00
_cell_angle_gamma 90.00
_space_group_name_H-M_alt 'C m c m'
_space_group_IT_number 63
_space_group_name_Hall '-C 2c 2'
loop_
_atom_site_label
_atom_site_type_symbol
_atom_site_fract_x
_atom_site_fract_y
_atom_site_fract_z
Ba1 Ba 0.000 0.107 0.250
Ba2 Ba 0.204 0.381 0.250
Tc1 Tc 0.000 0.301 0.750
N1 N 0.000 0.132 0.750
N2 N 0.181 0.368 0.750

# Zr3C, relaxed, DFT PBE-GGA
# **Formation enthalpy at 0 K**: 0.18 eV/atom
data_Zr3C
_cell_length_a 3.120
_cell_length_b 3.120
_cell_length_c 7.297
_cell_angle_alpha 90.00
_cell_angle_beta 90.00
_cell_angle_gamma 90.00
_space_group_name_H-M_alt 'P 4/m m m'
_space_group_IT_number 123
_space_group_name_Hall '-P 4 2'
loop_
_atom_site_label
_atom_site_type_symbol
_atom_site_fract_x
_atom_site_fract_y
_atom_site_fract_z
Zr1 Zr 0.000 0.000 0.000
Zr2 Zr 0.500 0.500 0.321
C1 C 0.000 0.000 0.500

# Er12Ni6Ir, relaxed, DFT PBE-GGA
# **Formation enthalpy at 0 K**: -0.28 eV/atom
data_Er12Ni6Ir
_cell_length_a 12.0944
_cell_length_b 12.0944
_cell_length_c 11.3549
_cell_angle_alpha 90.00
_cell_angle_beta 90.00
_cell_angle_gamma 120.00
_space_group_name_H-M_alt 'R -3'
_space_group_IT_number 148
_space_group_name_Hall '-R 3'
loop_
_atom_site_label
_atom_site_type_symbol
_atom_site_fract_x
_atom_site_fract_y
_atom_site_fract_z
Er1 Er 0.0222 0.8152 0.3880
Er2 Er 0.0296 0.8270 0.8770
Ni1 Ni 0.0366 0.7770 0.6434
Ir1 Ir 0.0000 0.0000 0.0000

# NiAgTe2N, relaxed, DFT PBE-GGA
# **ΔE_f (raw)**: 6.95 eV per formula unit
data_NiAgTe2N
_cell_length_a 5.501
_cell_length_b 5.501
_cell_length_c 3.852
_cell_angle_alpha 90.00
_cell_angle_beta 90.00
_cell_angle_gamma 90.00
_space_group_name_H-M_alt 'P 4/m m m'
_space_group_IT_number 123
_space_group_name_Hall '-P 4 2'
loop_
_atom_site_label
_atom_site_type_symbol
_atom_site_fract_x
_atom_site_fract_y
_atom_site_fract_z
Ni1 Ni 0.000 0.000 0.000
Ag1 Ag 0.500 0.500 0.500
Te1 Te 0.000 0.500 0.500
N1 N 0.500 0.500 0.000

Number 1: theoretical density 2584 kg/m3, spin magnetization 0.00 μB per cell, DOS at the Fermi energy 0.00 states/eV per cell. Number 2: theoretical density 6715 kg/m3, spin magnetization 0.00 μB per cell, DOS at the Fermi energy 26.55 states/eV per cell. Number 3: theoretical density 5828 kg/m3, spin magnetization 0.00 μB per cell, DOS at the Fermi energy 16.02 states/eV per cell. Number 4: theoretical density 6677 kg/m3, spin magnetization 0.00 μB per cell, DOS at the Fermi energy 3.86 states/eV per cell. Number 5: theoretical density 8837 kg/m3, spin magnetization 0.00 μB per cell, DOS at the Fermi energy 46.42 states/eV per cell. Number 6: theoretical density 6207 kg/m3, spin magnetization 1.86 μB per cell, DOS at the Fermi energy 3.36 states/eV per cell.